VASP calculation (GGA-PBE) on Sm7Dy12Th after structural relaxation.

Summary:
Energy relative to the elements: 0.24 eV/atom
Symmetry: No. 148
Crystal system: trigonal
Polymorph energy (0 for the lowest one): 0.00 kJ/mol of atoms

a b c (Å): 8.739 8.739 8.739
angles (deg): 89.27 89.27 89.27
Element x y z (fractional)
Sm 0.000 0.000 0.000
Sm 0.119 0.340 0.452
Sm 0.340 0.452 0.119
Sm 0.452 0.119 0.340
Sm 0.548 0.881 0.660
Sm 0.660 0.548 0.881
Sm 0.881 0.660 0.548
Dy 0.003 0.648 0.117
Dy 0.117 0.003 0.648
Dy 0.215 0.633 0.756
Dy 0.244 0.785 0.367
Dy 0.352 0.883 0.997
Dy 0.367 0.244 0.785
Dy 0.633 0.756 0.215
Dy 0.648 0.117 0.003
Dy 0.756 0.215 0.633
Dy 0.785 0.367 0.244
Dy 0.883 0.997 0.352
Dy 0.997 0.352 0.883
Th 0.500 0.500 0.500